# DyFeGe3Ru

A geometry-optimized DyFeGe3Ru structure (PBE, Alexandria).

The structure in POSCAR format:
```
DyFeGe3Ru
1.0
3.825 -5.400 0.000
3.825 5.400 0.000
0.000 0.000 5.622
Dy Fe Ge Ru
2 2 6 2
Direct
0.250 0.750 0.750
0.750 0.250 0.250
0.038 0.962 0.250
0.962 0.038 0.750
0.240 0.760 0.250
0.241 0.241 0.000
0.241 0.241 0.500
0.759 0.759 0.000
0.759 0.759 0.500
0.760 0.240 0.750
0.454 0.546 0.250
0.546 0.454 0.750
```

Values from the calculation:
Energy of formation: -0.175 eV/atom
Calculated density: 7.7 g/cm³
Final energy: -0.4562 Ry/atom
D(E_F): 3.45 states/eV/f.u.